Entry 1:
62
Lattice="6.222 0.000 0.000 0.000 12.300 0.000 -2.373 0.000 8.771" Properties=species:S:1:pos:R:3 comment="Rb2MgH12S2O14, PBEsol geometry, DFT SCAN" sg="No. 14" final_energy_ev_per_fu=-242.077 pbc="T T T"
Rb 0.135 1.894 3.228
Rb -1.051 4.256 7.613
Rb 4.900 8.044 1.158
Rb 3.713 10.406 5.543
Mg 3.111 0.000 0.000
Mg 1.924 6.150 4.385
H -0.451 6.897 5.306
H 0.736 11.553 0.921
H -0.053 7.931 4.168
H -1.239 10.519 8.553
H -0.750 1.128 6.854
H 0.436 5.022 2.469
H 0.796 1.563 6.609
H 1.983 4.587 2.224
H 2.069 7.363 1.953
H 0.883 11.088 6.338
H 2.172 8.499 3.069
H 0.985 9.951 7.454
H 2.864 2.349 1.316
H 1.677 3.801 5.702
H 2.966 1.213 2.432
H 1.779 4.938 6.818
H 1.866 7.713 6.547
H 3.052 10.737 2.162
H 3.412 7.278 6.301
H 4.599 11.172 1.916
H 5.088 1.781 0.217
H 3.901 4.369 4.603
H 3.113 0.747 7.850
H 4.299 5.403 3.464
S -0.739 7.850 7.926
S 0.447 10.600 3.541
S 3.401 1.700 5.230
S 4.588 4.450 0.844
O -1.648 9.025 8.016
O -0.461 9.425 3.631
O -1.208 6.988 6.799
O -0.022 11.463 2.414
O 0.076 6.985 4.463
O 1.262 11.466 0.078
O 1.567 7.057 0.405
O 0.381 11.393 4.790
O 0.112 1.365 7.305
O 1.298 4.785 2.920
O 0.660 8.309 7.670
O 1.846 10.141 3.285
O 2.615 1.398 1.511
O 1.429 4.752 5.896
O 2.420 7.549 2.874
O 1.233 10.902 7.260
O 2.002 2.159 5.486
O 3.189 3.991 1.100
O 2.550 7.515 5.851
O 3.737 10.935 1.465
O 3.468 0.907 3.980
O 2.281 5.243 8.366
O 2.586 0.834 8.692
O 3.773 5.316 4.307
O 3.870 0.838 6.357
O 5.057 5.312 1.971
O 4.310 2.875 5.140
O 5.496 3.275 0.755

=====

Entry 2:
72
Lattice="5.867 0.000 0.000 0.000 13.437 0.000 -5.750 0.000 7.807" Properties=species:S:1:pos:R:3 comment="MgH8SO8, PBEsol geometry, DFT SCAN" sg="No. 14" final_energy_ev_per_fu=-118.323 pbc="T T T"
Mg -0.405 1.423 2.145
Mg -3.280 5.296 6.048
Mg 3.397 8.141 1.759
Mg 0.522 12.015 5.662
H -5.329 1.269 7.316
H -2.453 5.450 3.413
H -3.834 9.864 6.076
H -0.959 10.292 2.172
H -3.353 2.550 6.065
H -0.478 4.168 2.162
H 1.157 2.508 0.194
H -1.719 4.210 4.097
H 1.007 8.004 0.463
H -1.868 12.152 4.366
H -0.205 6.911 2.560
H -3.080 13.245 6.464
H -0.676 7.881 3.752
H -3.551 12.275 7.655
H 1.169 9.355 1.303
H -1.706 10.801 5.206
H 1.823 2.636 2.600
H -1.052 4.082 6.503
H 3.668 1.162 0.151
H 0.793 5.556 4.055
H 3.197 0.192 1.343
H 0.322 6.526 5.246
H 1.985 1.285 3.440
H -0.890 5.433 7.343
H 1.836 9.227 3.710
H -1.040 10.929 7.613
H 0.595 9.269 5.645
H 3.470 10.887 1.742
H 1.076 3.146 5.634
H 3.951 3.573 1.731
H 2.570 7.987 4.394
H 5.446 12.168 0.490
S -1.081 1.457 5.295
S 1.794 5.261 1.392
S -1.677 8.176 6.415
S 1.198 11.980 2.511
O -3.952 3.348 6.127
O -1.077 3.371 2.224
O 0.625 1.700 0.384
O -2.250 5.018 4.287
O -0.763 7.707 2.779
O -3.638 12.449 6.683
O -1.443 1.002 3.933
O 1.432 5.717 0.030
O -2.799 7.340 5.896
O 0.076 12.816 1.992
O 1.656 8.676 0.758
O -1.220 11.480 4.661
O -2.275 1.272 6.189
O 0.600 5.447 2.286
O -2.080 9.596 6.395
O 0.795 10.560 2.492
O -0.678 2.877 5.315
O 2.197 3.841 1.411
O -0.483 7.990 5.521
O 2.392 12.165 1.617
O 1.337 1.957 3.145
O -1.539 4.761 7.049
O 0.041 0.621 5.814
O 2.916 6.097 1.911
O -1.315 7.721 7.777
O 1.560 12.435 3.874
O 3.755 0.988 1.124
O 0.880 5.731 5.027
O 2.367 8.419 3.519
O -0.508 11.737 7.423
O 1.194 10.066 5.582
O 4.069 10.090 1.679

=====

Entry 3:
96
Lattice="9.250 0.000 0.000 0.000 14.317 0.000 0.000 0.000 6.779" Properties=species:S:1:pos:R:3 comment="MgH12S2O9, PBEsol geometry, DFT SCAN" sg="No. 62" final_energy_ev_per_fu=-151.709 pbc="T T T"
Mg 0.000 0.000 0.000
Mg 0.000 7.159 0.000
Mg 4.625 0.000 3.390
Mg 4.625 7.159 3.390
H 0.816 1.077 2.385
H 0.816 6.082 2.385
H 1.036 9.526 0.457
H 1.036 11.950 0.457
H 1.147 1.597 4.916
H 1.147 5.562 4.916
H 1.392 9.315 5.699
H 1.392 12.161 5.699
H 1.791 7.330 2.034
H 1.791 14.146 2.034
H 1.817 1.903 6.338
H 1.817 5.255 6.338
H 2.808 9.062 2.948
H 2.808 12.414 2.948
H 2.834 0.172 5.423
H 2.834 6.987 5.423
H 3.233 2.156 2.309
H 3.233 5.003 2.309
H 3.478 8.756 1.527
H 3.478 12.720 1.527
H 3.589 2.368 3.846
H 3.589 4.791 3.846
H 3.809 8.236 5.775
H 3.809 13.240 5.775
H 5.441 1.077 1.004
H 5.441 6.082 1.004
H 5.661 9.526 2.933
H 5.661 11.950 2.933
H 5.772 1.597 5.253
H 5.772 5.562 5.253
H 6.017 9.315 4.470
H 6.017 12.161 4.470
H 6.416 7.330 1.356
H 6.416 14.146 1.356
H 6.442 1.903 3.831
H 6.442 5.255 3.831
H 7.432 9.062 0.442
H 7.432 12.414 0.442
H 7.459 0.172 4.746
H 7.459 6.987 4.746
H 7.858 2.156 1.080
H 7.858 5.003 1.080
H 8.103 8.756 1.863
H 8.103 12.720 1.863
H 8.214 2.368 6.323
H 8.214 4.791 6.323
H 8.434 8.236 4.394
H 8.434 13.240 4.394
S 0.306 10.738 2.950
S 1.971 10.738 4.097
S 2.654 3.579 0.707
S 4.319 3.579 6.339
S 4.931 10.738 0.440
S 6.596 10.738 6.072
S 7.279 3.579 2.682
S 8.944 3.579 3.830
O 0.476 2.355 3.558
O 0.476 4.804 3.558
O 0.748 10.738 1.528
O 0.975 0.333 1.753
O 0.975 6.825 1.753
O 1.145 8.829 6.528
O 1.145 12.647 6.528
O 1.478 1.159 5.759
O 1.478 5.999 5.759
O 3.147 8.318 2.369
O 3.147 13.158 2.369
O 3.480 1.670 3.138
O 3.480 5.489 3.138
O 3.650 7.492 5.143
O 3.650 13.984 5.143
O 3.877 3.579 4.918
O 4.149 9.514 0.168
O 4.149 11.962 0.168
O 5.101 2.355 6.611
O 5.101 4.804 6.611
O 5.373 10.738 1.861
O 5.599 0.333 1.637
O 5.599 6.825 1.637
O 5.770 8.829 3.641
O 5.770 12.647 3.641
O 6.103 1.159 4.410
O 6.103 5.999 4.410
O 7.771 8.318 1.020
O 7.771 13.158 1.020
O 8.105 1.670 0.251
O 8.105 5.489 0.251
O 8.275 7.492 5.027
O 8.275 13.984 5.027
O 8.502 3.579 5.251
O 8.774 9.514 3.221
O 8.774 11.962 3.221

=====

Entry 4:
108
Lattice="6.659 0.000 0.000 0.000 11.753 0.000 0.000 0.000 11.845" Properties=species:S:1:pos:R:3 comment="MgH14SO11, PBEsol geometry, DFT SCAN" sg="No. 19" final_energy_ev_per_fu=-167.328 pbc="T T T"
Mg 1.431 1.692 3.968
Mg 1.899 10.061 9.891
Mg 4.761 4.184 7.877
Mg 5.229 7.568 1.954
H 0.051 8.103 9.866
H 0.061 5.122 9.413
H 0.077 5.828 3.508
H 0.294 2.312 1.575
H 0.352 5.534 1.975
H 0.450 5.637 7.925
H 0.504 8.421 0.250
H 0.721 11.185 0.234
H 0.993 8.817 1.760
H 1.020 0.239 6.167
H 1.400 2.759 9.593
H 1.442 7.490 10.502
H 1.501 10.415 3.090
H 1.527 3.290 1.745
H 1.802 8.462 7.668
H 1.829 1.338 9.012
H 1.887 4.263 4.579
H 1.929 8.994 3.671
H 2.310 11.513 0.244
H 2.337 2.936 7.683
H 2.609 0.568 6.157
H 2.826 3.331 6.173
H 2.880 6.116 2.002
H 2.978 6.219 7.898
H 3.036 9.441 7.498
H 3.253 5.924 9.430
H 3.268 6.631 3.491
H 3.279 3.650 3.943
H 3.380 9.526 1.979
H 3.391 0.755 2.432
H 3.407 0.048 8.337
H 3.624 3.564 10.270
H 3.681 0.343 9.870
H 3.780 0.240 3.920
H 3.833 9.208 11.595
H 4.051 6.444 11.611
H 4.323 8.812 10.085
H 4.349 5.637 5.679
H 4.730 3.117 2.252
H 4.772 10.139 1.343
H 4.831 7.214 8.756
H 4.857 2.586 10.100
H 5.132 9.167 4.177
H 5.158 4.538 2.833
H 5.217 1.614 7.266
H 5.259 8.635 8.174
H 5.640 6.116 11.601
H 5.667 2.941 4.162
H 5.938 5.308 5.688
H 6.156 2.545 5.672
H 6.209 11.513 9.843
H 6.308 11.410 3.947
H 6.365 8.188 4.347
H 6.583 11.705 2.415
H 6.598 10.998 8.354
H 6.609 2.226 7.902
S 1.651 4.995 11.464
S 1.679 6.757 5.542
S 4.981 0.881 0.381
S 5.008 10.872 6.304
O 0.103 10.870 9.333
O 0.255 5.239 11.039
O 0.295 8.340 1.222
O 0.375 11.684 3.313
O 0.814 5.648 4.998
O 0.875 8.303 10.423
O 1.149 2.439 2.078
O 1.213 8.054 5.009
O 1.317 2.175 8.793
O 1.590 6.753 7.033
O 1.608 10.903 11.730
O 1.722 0.850 5.808
O 1.740 5.000 1.110
O 2.013 9.578 2.870
O 2.117 3.699 10.932
O 2.180 9.314 8.001
O 2.455 3.449 4.501
O 2.515 6.105 10.921
O 2.955 0.068 9.235
O 3.035 3.413 7.145
O 3.075 6.514 5.116
O 3.227 0.882 3.411
O 3.432 6.759 2.512
O 3.585 0.638 0.806
O 3.624 9.289 10.623
O 3.705 5.945 8.533
O 4.144 0.228 6.847
O 4.204 9.326 1.422
O 4.479 3.437 9.767
O 4.543 9.575 6.836
O 4.646 3.702 3.053
O 4.919 10.876 4.813
O 4.938 6.726 0.115
O 5.051 5.027 6.037
O 5.070 0.877 10.735
O 5.343 8.051 8.975
O 5.446 2.178 0.913
O 5.510 8.315 3.844
O 5.785 2.427 7.344
O 5.845 11.524 0.924
O 6.285 5.808 2.610
O 6.365 2.463 4.700
O 6.404 11.115 6.729
O 6.557 4.994 8.435

=====

Entry 5:
26
Lattice="5.137 0.000 0.000 0.000 8.558 0.000 -4.024 0.000 7.379" Properties=species:S:1:pos:R:3 comment="MgH2Se2O8, PBEsol geometry, DFT SCAN" sg="No. 14" final_energy_ev_per_fu=-117.027 pbc="T T T"
Mg 0.000 0.000 0.000
Mg -2.012 4.279 3.690
H -0.333 0.129 4.842
H 1.679 4.150 1.152
H -0.566 4.407 6.227
H 1.446 8.429 2.537
Se 0.566 5.839 2.120
Se -1.446 6.998 5.810
Se 2.559 1.560 1.569
Se 0.547 2.719 5.259
O -1.007 5.444 2.322
O -3.019 7.393 6.011
O -1.322 5.406 5.341
O 0.690 7.431 1.651
O 1.195 4.981 0.761
O -0.817 7.856 4.450
O 1.616 1.266 0.256
O -0.396 3.013 3.946
O 1.509 5.545 3.433
O -0.503 7.292 7.123
O 1.930 0.702 2.929
O -0.082 3.577 6.618
O 0.422 1.127 5.728
O 2.434 3.152 2.039
O 4.132 1.165 1.368
O 2.120 3.114 5.057

=====

Entry 6:
57
Lattice="9.546 0.000 0.000 0.000 6.003 0.000 -0.005 0.000 10.222" Properties=species:S:1:pos:R:3 comment="Mg16Si8HO32, PBEsol geometry, DFT SCAN" sg="No. 6" de_polymorph_mev_per_atom=0.0 pbc="T T T"
Mg 0.000 0.000 0.000
Mg 0.030 1.501 2.821
Mg 0.030 4.502 2.821
Mg 0.071 3.001 5.662
Mg 2.383 3.001 0.546
Mg 2.418 1.502 7.952
Mg 2.418 4.501 7.952
Mg 2.451 0.000 5.120
Mg 4.762 0.000 10.206
Mg 4.809 1.500 2.824
Mg 4.809 4.502 2.824
Mg 4.838 3.001 5.663
Mg 7.152 3.001 0.545
Mg 7.190 1.498 7.956
Mg 7.190 4.505 7.956
Mg 7.258 0.000 5.114
Si 0.382 0.000 6.988
Si 2.073 0.000 1.875
Si 2.752 3.001 3.774
Si 4.456 3.001 8.905
Si 5.150 0.000 6.952
Si 6.852 0.000 1.850
Si 7.540 3.001 3.789
Si 9.229 3.001 8.903
H 4.734 0.000 4.980
O 1.089 0.000 8.498
O 1.099 1.307 6.276
O 1.099 4.696 6.276
O 1.127 3.001 3.753
O 1.310 3.001 8.884
O 1.356 0.000 3.382
O 1.359 1.307 1.162
O 1.359 4.696 1.162
O 3.464 1.706 4.501
O 3.464 4.297 4.501
O 3.480 3.001 2.275
O 3.519 0.000 7.044
O 3.702 0.000 1.899
O 3.736 1.697 9.618
O 3.736 4.305 9.618
O 3.746 3.001 7.396
O 5.858 0.000 8.476
O 5.897 1.332 6.295
O 5.897 4.671 6.295
O 5.910 3.001 3.769
O 6.084 3.001 8.890
O 6.127 1.306 1.150
O 6.127 4.696 1.150
O 6.165 0.000 3.367
O 8.244 3.001 2.277
O 8.261 1.696 4.497
O 8.261 4.307 4.497
O 8.301 0.000 7.007
O 8.479 0.000 1.875
O 8.512 1.695 9.615
O 8.512 4.308 9.615
O 8.520 3.001 7.395

=====

no.,density (g cm⁻³),magnetic moment (μB/atom)
1,2.45,0.010
2,2.08,0.000
3,1.81,0.005
4,1.77,0.007
5,3.20,0.000
6,3.19,0.018